Sm4B2I5 (PBE, relaxed); symmetry = C2/m, No. 12; final energy = -4.622 eV per atom; total moment = 0.001 μB per atom
1.0
10.401 -2.032 0.000
10.401 2.032 0.000
-1.853 0.000 8.562
Sm B I
4 2 5
direct
0.001 0.001 0.192 Sm
0.343 0.343 0.917 Sm
0.657 0.657 0.083 Sm
0.999 0.999 0.808 Sm
0.461 0.461 0.982 B
0.539 0.539 0.018 B
0.161 0.161 0.353 I
0.168 0.168 0.817 I
0.500 0.500 0.500 I
0.832 0.832 0.183 I
0.839 0.839 0.647 I